CoGePtO6 | PBE with a Hubbard U | relaxed

The theoretical density comes out at 7.3 g cm⁻³. The symmetry is P-31c, No. 163. As for the density of states at the Fermi level: 9.0 states/eV/cell. The total energy is -53.4 eV/f.u.

```
18
Lattice="5.0769 0.0000 0.0000 -2.5384 4.3967 0.0000 0.0000 0.0000 8.6238" Properties=species:S:1:pos:R:3 pbc="T T T"
Co 0.0000 0.0000 0.0000
Co 0.0000 0.0000 4.3119
Ge 0.0000 2.9311 2.1560
Ge 2.5384 1.4656 6.4679
Pt 0.0000 2.9311 6.4679
Pt 2.5384 1.4656 2.1560
O -0.8343 1.5473 1.1255
O -1.6156 2.9005 3.1864
O 0.8343 1.5473 3.1864
O -0.7812 4.3456 1.1255
O 1.7572 0.0511 5.4374
O 0.9229 1.4962 7.4983
O 1.6156 2.9005 1.1255
O 0.7812 4.3456 3.1864
O 3.3197 0.0511 7.4983
O 1.7041 2.8494 5.4374
O 4.1540 1.4962 5.4374
O 3.3728 2.8494 7.4983
```